{"formula": "LaTi2Fe", "functional": "PBE", "state": "optimized geometry", "dft_energy_ev_per_cell": -52.4, "lattice": [[-0.424, -0.878, -4.703], [4.769, -0.445, -0.347], [1.536, -8.705, -0.966]], "species": ["Ti", "Ti", "Ti", "Ti", "Fe", "Fe", "La", "La"], "fractional_positions": [[0.375, 0.125, 0.250], [0.375, 0.625, 0.250], [0.375, 0.625, 0.750], [0.875, 0.625, 0.750], [0.500, 0.500, 0.000], [0.250, 0.750, 0.500], [0.000, 0.000, 0.000], [0.750, 0.250, 0.500]]}